Below is an optimized crystal structure of RbRu2Au, with properties calculated at the GGA-PBE level.

a b c (Å): 6.773 6.773 6.773
angles (deg): 90.00 90.00 90.00
Space group Fm-3m (No. 225)
Inequivalent atoms, fractional coordinates:
Rb1 0.000 0.000 0.000 x4
Ru1 0.250 0.250 0.250 x8
Au1 0.000 0.000 0.500 x4

Values from the calculation:
ΔE to the lowest computed polymorph = 0.4167 eV per atom
Spin magnetization = 3.9 μB per formula unit
Formation energy from the elements = 1.511 eV per atom
Calculated volume = 19.42 A^3/atom


Below is an optimized crystal structure of CdWCl, with properties calculated at the GGA-PBE level.

a b c (Å): 2.9963 2.9963 8.2880
angles (deg): 90.00 90.00 120.00
Space group P3m1 (No. 156)
Inequivalent atoms, fractional coordinates:
Cd1 0.0000 0.0000 0.0000 x1
W1 0.3333 0.6667 0.7019 x1
Cl1 0.6667 0.3333 0.4905 x1

Values from the calculation:
ΔE to the lowest computed polymorph = 0.0000 eV per atom
Spin magnetization = 0.0 μB per formula unit
Calculated volume = 21.48 A^3/atom


Below is an optimized crystal structure of NpBN, with properties calculated at the GGA-PBE level.

a b c (Å): 3.576 3.576 6.061
angles (deg): 90.00 90.00 90.00
Space group I4mm (No. 107)
Inequivalent atoms, fractional coordinates:
Np1 0.000 0.000 0.000 x2
B1 0.000 0.000 0.603 x2
N1 0.000 0.000 0.375 x2

Values from the calculation:
ΔE to the lowest computed polymorph = 0.5614 eV per atom
Spin magnetization = 2.7 μB per formula unit
Calculated volume = 12.92 A^3/atom


Below is an optimized crystal structure of Sc3Ir4, with properties calculated at the GGA-PBE level.

a b c (Å): 5.4555 5.4555 4.7418
angles (deg): 90.00 90.00 120.00
Space group P6/mmm (No. 191)
Inequivalent atoms, fractional coordinates:
Sc1 0.0000 0.5000 0.0000 x3
Ir1 0.0000 0.0000 0.2541 x2
Ir2 0.3333 0.6667 0.5000 x2

Values from the calculation:
ΔE to the lowest computed polymorph = 0.8343 eV per atom
Spin magnetization = 0.0 μB per formula unit
Formation energy from the elements = 0.029 eV per atom
Calculated volume = 17.46 A^3/atom


Below is an optimized crystal structure of Tb6InGe2Se3, with properties calculated at the GGA-PBE level.

a b c (Å): 18.448 4.156 8.449
angles (deg): 90.00 106.63 90.00
Space group C2/m (No. 12)
Inequivalent atoms, fractional coordinates:
Tb1 0.001 0.000 0.235 x4
Tb2 0.171 0.500 0.070 x4
Tb3 0.172 0.500 0.589 x4
In1 0.000 0.500 0.500 x2
Ge1 0.164 0.000 0.825 x4
Se1 0.000 0.500 0.000 x2
Se2 0.167 0.000 0.327 x4

Values from the calculation:
Spin magnetization = 0.0 μB per formula unit
Calculated volume = 25.86 A^3/atom
E = -5.4446 eV/atom


Below is an optimized crystal structure of Li2TbAg3, with properties calculated at the GGA-PBE level.

a b c (Å): 4.5670 4.5670 13.0101
angles (deg): 90.00 90.00 120.00
Space group P6_3/mmc (No. 194)
Inequivalent atoms, fractional coordinates:
Li1 0.3333 0.6667 0.0720 x4
Tb1 0.0000 0.0000 0.2500 x2
Ag1 0.0000 0.0000 0.0000 x2
Ag2 0.3333 0.6667 0.6310 x4

Values from the calculation:
ΔE to the lowest computed polymorph = 0.0135 eV per atom
Spin magnetization = 0.0 μB per formula unit
Formation energy from the elements = -0.204 eV per atom
Calculated volume = 19.58 A^3/atom


Below is an optimized crystal structure of MgBi2I, with properties calculated at the GGA-PBE level.

a b c (Å): 4.601 4.601 25.690
angles (deg): 90.00 90.00 90.00
Space group I-42d (No. 122)
Inequivalent atoms, fractional coordinates:
Mg1 0.000 0.000 0.000 x4
Bi1 0.210 0.250 0.125 x8
I1 0.000 0.000 0.500 x4

Values from the calculation:
ΔE to the lowest computed polymorph = 0.0000 eV per atom
Spin magnetization = 0.0 μB per formula unit
Calculated volume = 33.98 A^3/atom


Below is an optimized crystal structure of Zn2Bi2Se, with properties calculated at the GGA-PBE level.

a b c (Å): 8.271 8.271 3.772
angles (deg): 90.00 90.00 90.00
Space group P4/mbm (No. 127)
Inequivalent atoms, fractional coordinates:
Zn1 0.107 0.393 0.000 x4
Bi1 0.205 0.705 0.500 x4
Se1 0.000 0.000 0.500 x2

Values from the calculation:
ΔE to the lowest computed polymorph = 0.0000 eV per atom
Spin magnetization = 0.0 μB per formula unit
Calculated volume = 25.81 A^3/atom


Q: What is the calculated volume in the first record?
A: 19.42 A^3/atom


Q: calculated volume of number 6 (Li2TbAg3)?
A: 19.58 A^3/atom


Q: spin magnetization of number 2 (CdWCl)?
A: 0.0 μB per formula unit